[1]
VASP calculation (PBE) on a relaxed YGe crystal.

a b c (Å): 8.2217 8.2217 5.8749
angles (deg): 90.00 90.00 90.00
Closest atoms and distances in Å follow each position.
Sites, in units of the cell vectors:
Y: 0.4369 0.1990 0.0000  5 Ge 2.92-3.02
Y: 0.5631 0.8010 0.0000  5 Ge 2.92-3.02
Y: 0.8010 0.4369 0.0000  5 Ge 2.92-3.02
Y: 0.1990 0.5631 0.0000  5 Ge 2.92-3.02
Y: 0.9369 0.6990 0.5000  5 Ge 2.92-3.02
Y: 0.0631 0.3010 0.5000  5 Ge 2.92-3.02
Y: 0.3010 0.9369 0.5000  5 Ge 2.92-3.02
Y: 0.6990 0.0631 0.5000  5 Ge 2.92-3.02
Ge: 0.2156 0.9182 0.0000  2 Ge 2.68, 2 Y 2.92-2.94
Ge: 0.7844 0.0818 0.0000  2 Ge 2.68, 2 Y 2.92-2.94
Ge: 0.0818 0.2156 0.0000  2 Ge 2.68, 2 Y 2.92-2.94
Ge: 0.9182 0.7844 0.0000  2 Ge 2.68, 2 Y 2.92-2.94
Ge: 0.7156 0.4182 0.5000  2 Ge 2.68, 2 Y 2.92-2.94
Ge: 0.2844 0.5818 0.5000  2 Ge 2.68, 2 Y 2.92-2.94
Ge: 0.5818 0.7156 0.5000  2 Ge 2.68, 2 Y 2.92-2.94
Ge: 0.4182 0.2844 0.5000  2 Ge 2.68, 2 Y 2.92-2.94

Energy of formation ... -0.4517 eV/atom
Magnetic moment ... 1.547 μB per cell

***

[2]
VASP calculation (PBE) on a relaxed K3TbTm3Te8 crystal.

a b c (Å): 8.7119 8.7175 9.8757
angles (deg): 116.21 90.00 119.99
Closest atoms and distances in Å follow each position.
Sites, in units of the cell vectors:
K: 0.0000 0.0000 0.0000  6 Te 3.54-3.55
K: 0.0000 0.5000 0.0000  6 Te 3.54-3.55
K: 0.5000 0.5000 0.0000  6 Te 3.54-3.55
Tb: 0.0000 0.0000 0.5000  6 Te 3.11
Tm: 0.5000 0.0000 0.5000  6 Te 3.05-3.07
Tm: 0.5000 0.5000 0.5000  6 Te 3.05-3.07
Tm: 0.0000 0.5000 0.5000  6 Te 3.05-3.07
Te: 0.2645 0.5291 0.2937  3 Tm 3.07
Te: 0.7355 0.4709 0.7063  3 Tm 3.07
Te: 0.7610 0.5219 0.2924  2 Tm 3.05, 1 Tb 3.11
Te: 0.2390 0.4781 0.7076  2 Tm 3.05, 1 Tb 3.11
Te: 0.7609 0.0312 0.2924  2 Tm 3.05, 1 Tb 3.11
Te: 0.2391 0.9688 0.7076  2 Tm 3.05, 1 Tb 3.11
Te: 0.2703 0.0312 0.2924  2 Tm 3.05, 1 Tb 3.11
Te: 0.7297 0.9688 0.7076  2 Tm 3.05, 1 Tb 3.11

Magnetic moment ... 0.000 μB per cell
Formation energy (no corrections) ... -1.306 eV/atom

***

- Among the records above, which one has the highest magnetic moment?
  YGe